No. 1
CaHf2MnTl after structural relaxation, computed with PBEsol.

POSCAR file:
```
CaHf2MnTl
1.0
-4.7650 0.2311 -1.1111
-1.1133 -1.8842 4.3822
-0.2424 4.9613 2.0716
Hf Mn Tl Ca
2 1 1 1
direct
0.5000 0.0000 0.0000
0.0000 0.5000 0.0000
0.5000 0.5000 0.5000
0.0000 0.0000 0.5000
0.0000 0.0000 0.0000
```

energy of formation	9.49	eV/f.u.
DOS at the Fermi energy	5.3	states/eV per cell
calculated total energy	-26.037	eV/f.u.
volume	129.1	Å³ per cell

No. 2
FeRh2W after structural relaxation, computed with PBEsol.

POSCAR file:
```
FeRh2W
1.0
-1.3368 -1.6898 -1.5871
-0.1707 -1.7515 4.2647
-3.6780 2.7610 0.1584
W Rh Fe
1 2 1
direct
0.0000 0.0000 0.5000
0.7529 0.5058 0.7564
0.2471 0.4942 0.2436
0.5000 0.0000 0.0000
```

energy of formation	-0.11	eV/f.u.
DOS at the Fermi energy	3.8	states/eV per cell
calculated total energy	-39.158	eV/f.u.
volume	53.5	Å³ per cell
E above lowest polymorph	129.3	meV per atom

No. 3
CaTiO3 after structural relaxation, computed with PBEsol.

POSCAR file:
```
CaTiO3
1.0
-0.0647 0.5464 -5.3202
-2.4208 -4.2817 2.2782
-2.1832 4.8544 0.5251
O Ti Ca
6 2 2
direct
0.3106 0.0000 0.8106
0.7500 0.5000 0.7500
0.2500 0.5000 0.2500
0.6894 0.0000 0.1894
0.8106 0.0000 0.6894
0.1894 0.0000 0.3106
0.5000 0.0000 0.5000
0.0000 0.0000 0.0000
0.2500 0.5000 0.7500
0.7500 0.5000 0.2500
```

formation energy from raw total energies	-3.180	eV/atom
DOS at the Fermi energy	0.0	states/eV per cell
calculated total energy	-42.104	eV/f.u.
volume	111.1	Å³ per cell

No. 4
Be2CrCl after structural relaxation, computed with PBEsol.

POSCAR file:
```
Be2CrCl
1.0
3.3138 0.0000 0.0000
0.0000 3.3138 0.0000
-1.6569 -1.6569 4.1487
Cl Be Cr
1 2 1
direct
0.5000 0.5000 0.0000
0.2500 0.7500 0.5000
0.7500 0.2500 0.5000
0.0000 0.0000 0.0000
```

formation energy from raw total energies	0.594	eV/atom
DOS at the Fermi energy	1.7	states/eV per cell
calculated total energy	-17.874	eV/f.u.
volume	45.6	Å³ per cell
E above lowest polymorph	190.7	meV per atom

No. 5
MgCdCuCl2 after structural relaxation, computed with PBEsol.

POSCAR file:
```
MgCdCuCl2
1.0
-4.2722 0.0242 -1.5677
0.0228 -4.5488 -0.1324
-1.9133 -0.1612 5.2115
Cl Mg Cu Cd
2 1 1 1
direct
0.5000 0.0000 0.0000
0.0000 0.5000 0.0000
0.5000 0.5000 0.5000
0.0000 0.0000 0.0000
0.0000 0.0000 0.5000
```

formation energy from raw total energies	-0.196	eV/atom
DOS at the Fermi energy	1.5	states/eV per cell
calculated total energy	-12.242	eV/f.u.
volume	115.0	Å³ per cell

No. 6
MgBeMo2 after structural relaxation, computed with PBEsol.

POSCAR file:
```
MgBeMo2
1.0
3.1445 0.0000 0.0000
0.0000 3.1444 0.0000
0.0000 0.0000 6.1281
Mo Mg Be
2 1 1
direct
0.0000 0.0000 0.0464
0.5000 0.5000 0.2564
0.5000 0.5000 0.7334
0.0000 0.0000 0.4638
```

energy of formation	1.12	eV/f.u.
DOS at the Fermi energy	3.6	states/eV per cell
calculated total energy	-28.135	eV/f.u.
volume	60.6	Å³ per cell
E above lowest polymorph	0.0	meV per atom

No. 7
MgMn2Cl after structural relaxation, computed with PBEsol.

POSCAR file:
```
MgMn2Cl
1.0
-1.1842 1.6047 2.1639
3.0327 -1.8885 3.0603
2.0996 3.5786 -3.5059
Cl Mg Mn
1 1 2
direct
0.0000 0.5000 0.0000
0.5000 0.0000 0.0000
0.7317 0.7316 0.4635
0.2683 0.2684 0.5365
```

formation energy from raw total energies	0.321	eV/atom
DOS at the Fermi energy	2.8	states/eV per cell
calculated total energy	-21.963	eV/f.u.
volume	64.6	Å³ per cell
E above lowest polymorph	279.0	meV per atom

No. 8
Sr2Cu3Br2O4 after structural relaxation, computed with PBEsol.

POSCAR file:
```
Sr2Cu3Br2O4
1.0
5.4405 0.0000 0.0000
0.0000 5.4405 0.0000
-2.7203 -2.7203 6.6363
O Cu Sr Br
4 3 2 2
direct
0.2502 0.7498 0.0000
0.7498 0.2502 0.0000
0.2502 0.2502 0.0000
0.7498 0.7498 0.0000
0.0000 0.0000 0.0000
0.5000 0.0000 0.0000
0.0000 0.5000 0.0000
0.3683 0.3683 0.7366
0.6317 0.6317 0.2634
0.7500 0.2500 0.5000
0.2500 0.7500 0.5000
```

formation energy from raw total energies	-1.434	eV/atom
DOS at the Fermi energy	2.4	states/eV per cell
calculated total energy	-57.192	eV/f.u.
volume	196.4	Å³ per cell

No. 9
KMgCr after structural relaxation, computed with PBEsol.

POSCAR file:
```
KMgCr
1.0
3.6921 0.0000 0.0000
0.0000 3.6921 0.0000
-1.8460 -1.8460 6.6189
Cr Mg K
1 1 1
direct
0.9633 0.9633 0.9267
0.3755 0.3755 0.7510
0.6612 0.6612 0.3223
```

energy of formation	2.55	eV/f.u.
DOS at the Fermi energy	2.0	states/eV per cell
calculated total energy	-10.543	eV/f.u.
volume	90.2	Å³ per cell
E above lowest polymorph	0.0	meV per atom

No. 10
RbTlPd2 after structural relaxation, computed with PBEsol.

POSCAR file:
```
RbTlPd2
1.0
4.9358 0.0000 0.0000
2.4679 4.2746 0.0000
2.4679 1.4249 4.0301
Pd Tl Rb
2 1 1
direct
0.7500 0.7500 0.7500
0.2500 0.2500 0.2500
0.5000 0.5000 0.5000
0.0000 0.0000 0.0000
```

energy of formation	1.06	eV/f.u.
DOS at the Fermi energy	1.7	states/eV per cell
calculated total energy	-14.512	eV/f.u.
volume	85.0	Å³ per cell

No. 11
Ba2LiNi after structural relaxation, computed with PBEsol.

POSCAR file:
```
Ba2LiNi
1.0
-2.6464 -2.8809 2.6205
3.4074 -3.2470 -0.1287
1.6949 5.0714 3.0569
Li Ba Ni
1 2 1
direct
0.5000 0.5000 0.0000
0.0000 0.0000 0.0000
0.7500 0.2500 0.5000
0.2500 0.7500 0.5000
```

energy of formation	1.39	eV/f.u.
DOS at the Fermi energy	2.9	states/eV per cell
calculated total energy	-11.037	eV/f.u.
volume	114.9	Å³ per cell

No. 12
VSO4F3 after structural relaxation, computed with PBEsol.

POSCAR file:
```
VSO4F3
1.0
-5.5275 3.3345 2.8991
-2.0723 -6.1902 3.1687
5.9331 2.3945 8.5581
O F S V
16 12 4 4
direct
0.1034 0.7839 0.0552
0.3966 0.7839 0.9448
0.6034 0.7161 0.4448
0.1034 0.2839 0.4448
0.6034 0.2161 0.0552
0.1651 0.0456 0.6019
0.3349 0.0456 0.3981
0.8349 0.4544 0.1019
0.6651 0.9544 0.6019
0.3349 0.5456 0.1019
0.3966 0.2839 0.5552
0.6651 0.4544 0.8981
0.8349 0.9544 0.3981
0.8966 0.7161 0.5552
0.8966 0.2161 0.9448
0.1651 0.5456 0.8981
0.7500 0.8956 0.0000
0.9654 0.5684 0.3458
0.2500 0.6044 0.5000
0.4654 0.9316 0.1542
0.7500 0.3956 0.5000
0.5346 0.5684 0.6542
0.0346 0.4316 0.6542
0.9654 0.0684 0.1542
0.0346 0.9316 0.8458
0.5346 0.0684 0.8458
0.2500 0.1044 0.0000
0.4654 0.4316 0.3458
0.7500 0.8587 0.5000
0.2500 0.6413 0.0000
0.7500 0.3587 0.0000
0.2500 0.1413 0.5000
0.0000 0.0000 0.0000
0.5000 0.5000 0.5000
0.5000 0.0000 0.0000
0.0000 0.5000 0.5000
```

formation energy from raw total energies	-1.910	eV/atom
calculated total energy	-57.984	eV/f.u.
volume	548.7	Å³ per cell

No. 13
HgP after structural relaxation, computed with PBEsol.

POSCAR file:
```
HgP
1.0
3.8614 0.0000 0.0000
-1.9307 3.3441 0.0000
0.0000 0.0000 6.3041
Hg P
2 2
direct
0.0000 0.0000 0.5000
0.0000 0.0000 0.0000
0.3333 0.6667 0.2500
0.6667 0.3333 0.7500
```

energy of formation	1.05	eV/f.u.
DOS at the Fermi energy	2.5	states/eV per cell
calculated total energy	-5.304	eV/f.u.
volume	81.4	Å³ per cell
E above lowest polymorph	474.5	meV per atom

No. 14
BaTaCd2 after structural relaxation, computed with PBEsol.

POSCAR file:
```
BaTaCd2
1.0
5.2637 0.0000 0.0000
2.6319 4.5585 0.0000
2.6319 1.5195 4.2978
Ba Cd Ta
1 2 1
direct
0.0000 0.0000 0.0000
0.7500 0.7500 0.7500
0.2500 0.2500 0.2500
0.5000 0.5000 0.5000
```

energy of formation	2.77	eV/f.u.
DOS at the Fermi energy	4.6	states/eV per cell
calculated total energy	-14.328	eV/f.u.
volume	103.1	Å³ per cell
E above lowest polymorph	423.2	meV per atom

No. 15
BMo3Ir after structural relaxation, computed with PBEsol.

POSCAR file:
```
BMo3Ir
1.0
-0.4158 1.4772 3.8065
-1.1021 -3.7248 1.3251
3.9316 -0.8879 0.7740
Mo Ir B
3 1 1
direct
0.0000 0.5000 0.0000
0.0000 0.0000 0.5000
0.5000 0.0000 0.0000
0.5000 0.5000 0.5000
0.0000 0.0000 0.0000
```

energy of formation	0.51	eV/f.u.
DOS at the Fermi energy	4.2	states/eV per cell
calculated total energy	-51.633	eV/f.u.
volume	69.1	Å³ per cell

No. 16
Zr5Ga3 after structural relaxation, computed with PBEsol.

POSCAR file:
```
Zr5Ga3
1.0
5.5280 0.0000 0.0000
0.0000 8.0843 0.0000
0.0000 -4.0421 7.0012
Ga Zr
6 10
direct
0.7500 0.6096 0.6096
0.2500 0.3904 0.3904
0.7500 0.3904 0.0000
0.2500 0.0000 0.6096
0.7500 0.0000 0.3904
0.2500 0.6096 0.0000
0.7500 0.0000 0.7574
0.0000 0.6667 0.3333
0.0000 0.3333 0.6667
0.2500 0.7574 0.7574
0.2500 0.2426 0.0000
0.2500 0.0000 0.2426
0.5000 0.3333 0.6667
0.7500 0.2426 0.2426
0.5000 0.6667 0.3333
0.7500 0.7574 0.0000
```

energy of formation	-4.34	eV/f.u.
DOS at the Fermi energy	19.9	states/eV per cell
calculated total energy	-59.810	eV/f.u.
volume	312.9	Å³ per cell

No. 17
Tc5Sb after structural relaxation, computed with PBEsol.

POSCAR file:
```
Tc5Sb
1.0
4.4615 0.0000 0.0000
0.0000 4.7896 0.0000
0.0000 -2.3948 4.1479
Sb Tc
1 5
direct
0.5000 0.0000 0.0000
0.0000 0.6594 0.0000
0.5000 0.3333 0.6667
0.0000 0.3406 0.3406
0.0000 0.0000 0.6594
0.5000 0.6667 0.3333
```

formation energy from raw total energies	0.116	eV/atom
DOS at the Fermi energy	5.0	states/eV per cell
calculated total energy	-60.193	eV/f.u.
volume	88.6	Å³ per cell

No. 18
AlCuS2 after structural relaxation, computed with PBEsol.

POSCAR file:
```
AlCuS2
1.0
5.2532 0.0000 0.0000
0.0000 5.2532 0.0000
-2.6266 -2.6266 5.2230
Cu S Al
2 4 2
direct
0.2500 0.7500 0.5000
0.0000 0.0000 0.0000
0.6250 0.6233 0.7500
0.3767 0.8750 0.2500
0.1250 0.1267 0.7500
0.8733 0.3750 0.2500
0.5000 0.5000 0.0000
0.7500 0.2500 0.5000
```

formation energy from raw total energies	-0.826	eV/atom
DOS at the Fermi energy	0.0	states/eV per cell
calculated total energy	-20.497	eV/f.u.
volume	144.1	Å³ per cell

No. 19
CoTe2Ir after structural relaxation, computed with PBEsol.

POSCAR file:
```
CoTe2Ir
1.0
4.7091 0.0000 0.0000
2.3545 4.0782 0.0000
2.3545 1.3594 3.8450
Te Ir Co
2 1 1
direct
0.0000 0.0000 0.0000
0.7500 0.7500 0.7500
0.2500 0.2500 0.2500
0.5000 0.5000 0.5000
```

formation energy from raw total energies	0.940	eV/atom
DOS at the Fermi energy	5.6	states/eV per cell
calculated total energy	-20.851	eV/f.u.
volume	73.8	Å³ per cell
E above lowest polymorph	427.1	meV per atom

No. 20
LaRu2AuBr after structural relaxation, computed with PBEsol.

POSCAR file:
```
LaRu2AuBr
1.0
-2.6965 -1.5188 3.7446
1.1364 -4.6051 -1.0495
4.3869 0.3319 3.2936
Ru La Br Au
2 1 1 1
direct
0.5000 0.0000 0.0000
0.0000 0.5000 0.0000
0.0000 0.0000 0.0000
0.5000 0.5000 0.5000
0.0000 0.0000 0.5000
```

formation energy from raw total energies	1.605	eV/atom
DOS at the Fermi energy	5.8	states/eV per cell
calculated total energy	-23.462	eV/f.u.
volume	129.7	Å³ per cell